Compound: Mg2CoF
Source: the Alexandria database
Functional: PBE with a Hubbard U
Structure: optimized geometry

Computed properties:
Energy   -52.82 eV per cell
Total magnetization   7.76 Bohr magnetons per cell
ΔE to the lowest computed polymorph   0.00 eV per formula unit

Geometry as CIF:
```
data_Mg2CoF
_chemical_formula_sum 'Mg8 Co4 F4'
_cell_length_a 6.319
_cell_length_b 6.319
_cell_length_c 6.686
_cell_angle_alpha 90.00
_cell_angle_beta 90.00
_cell_angle_gamma 90.00
_space_group_name_H-M_alt 'I -4 2 d'
_space_group_IT_number 122
_space_group_name_Hall 'I -4 2bw'
loop_
_atom_site_label
_atom_site_type_symbol
_atom_site_fract_x
_atom_site_fract_y
_atom_site_fract_z
_atom_site_occupancy
Mg1 Mg 0.181 0.250 0.125 1
Co1 Co 0.000 0.000 0.500 1
F1 F 0.000 0.000 0.000 1
```